Density functional theory data (GGA-PBE) for Sc4BiH after structural relaxation.

Total energy   -5.716 eV per atom
M_tot   0.00 μB per cell

a = 7.4395 Å, b = 7.4395 Å, c = 6.4907 Å
α = 105.40°, β = 105.40°, γ = 45.60°
Sites, in units of the cell vectors:
1 Sc 0.0143 0.1901 0.4500
2 Sc 0.1901 0.0143 0.9500
3 Sc 0.2138 0.4019 0.8474
4 Sc 0.4019 0.2138 0.3474
5 Sc 0.5981 0.7862 0.6526
6 Sc 0.7862 0.5981 0.1526
7 Sc 0.8099 0.9857 0.0500
8 Sc 0.9857 0.8099 0.5500
9 Bi 0.3807 0.6193 0.2500
10 Bi 0.6193 0.3807 0.7500
11 H 0.0000 0.5000 0.5000
12 H 0.5000 0.0000 0.0000

Density functional theory data (GGA-PBE) for In2TeMo after structural relaxation.

Total energy   -4.421 eV per atom
M_tot   0.00 μB per cell
Raw formation energy   441 meV per atom

a = 3.6815 Å, b = 3.6815 Å, c = 6.5571 Å
α = 90.00°, β = 90.00°, γ = 90.00°
Sites, in units of the cell vectors:
1 In 0.0000 0.0000 0.2160
2 In 0.0000 0.0000 0.7840
3 Te 0.5000 0.5000 0.5000
4 Mo 0.5000 0.5000 0.0000

Density functional theory data (GGA-PBE) for TaTc2SeF after structural relaxation.

Total energy   -6.403 eV per atom
M_tot   1.78 μB per cell
Raw formation energy   1185 meV per atom

a = 4.5674 Å, b = 4.5674 Å, c = 4.8390 Å
α = 90.00°, β = 90.00°, γ = 90.00°
Sites, in units of the cell vectors:
1 Ta 0.0000 0.0000 0.0000
2 Tc 0.0000 0.5000 0.5000
3 Tc 0.5000 0.0000 0.5000
4 Se 0.0000 0.0000 0.5000
5 F 0.5000 0.5000 0.0000

Density functional theory data (GGA-PBE) for BiPH2Ru after structural relaxation.

Total energy   -4.697 eV per atom
M_tot   0.00 μB per cell

a = 3.8635 Å, b = 3.8635 Å, c = 4.6713 Å
α = 90.00°, β = 90.00°, γ = 90.00°
Sites, in units of the cell vectors:
1 Bi 0.0000 0.0000 0.0000
2 P 0.5000 0.5000 0.0000
3 H 0.0000 0.5000 0.5000
4 H 0.5000 0.0000 0.5000
5 Ru 0.5000 0.5000 0.5000

Density functional theory data (GGA-PBE) for SmTmGeSe after structural relaxation.

Total energy   -5.690 eV per atom
M_tot   0.00 μB per cell
Raw formation energy   -1367 meV per atom

a = 7.2255 Å, b = 7.2255 Å, c = 7.2255 Å
α = 33.37°, β = 33.37°, γ = 33.37°
Sites, in units of the cell vectors:
1 Sm 0.0000 0.0000 0.0000
2 Tm 0.5084 0.5084 0.5084
3 Ge 0.2515 0.2515 0.2515
4 Se 0.7579 0.7579 0.7579

Density functional theory data (GGA-PBE) for Cd12Hg5P3 after structural relaxation.

Formation energy   0.201 eV per atom
Total energy   -1.235 eV per atom
M_tot   0.00 μB per cell

a = 14.2898 Å, b = 14.2898 Å, c = 14.2898 Å
α = 109.47°, β = 109.47°, γ = 109.47°
Sites, in units of the cell vectors:
1 Cd 0.0582 0.6280 0.3907
2 Cd 0.0582 0.9302 0.6675
3 Cd 0.0698 0.2373 0.1280
4 Cd 0.0698 0.3325 0.9418
5 Cd 0.1093 0.7373 0.6675
6 Cd 0.1093 0.8720 0.4418
7 Cd 0.1280 0.0698 0.2373
8 Cd 0.1280 0.5582 0.8907
9 Cd 0.1675 0.2373 0.6093
10 Cd 0.1675 0.4302 0.5582
11 Cd 0.2373 0.1280 0.0698
12 Cd 0.2373 0.6093 0.1675
13 Cd 0.2627 0.3325 0.8907
14 Cd 0.2627 0.4302 0.3720
15 Cd 0.3325 0.8907 0.2627
16 Cd 0.3325 0.9418 0.0698
17 Cd 0.3720 0.2627 0.4302
18 Cd 0.3720 0.6093 0.9418
19 Cd 0.3907 0.0582 0.6280
20 Cd 0.3907 0.8325 0.7627
21 Cd 0.4302 0.3720 0.2627
22 Cd 0.4302 0.5582 0.1675
23 Cd 0.4418 0.1093 0.8720
24 Cd 0.4418 0.8325 0.5698
25 Cd 0.5582 0.1675 0.4302
26 Cd 0.5582 0.8907 0.1280
27 Cd 0.5698 0.4418 0.8325
28 Cd 0.5698 0.6280 0.7373
29 Cd 0.6093 0.1675 0.2373
30 Cd 0.6093 0.9418 0.3720
31 Cd 0.6280 0.3907 0.0582
32 Cd 0.6280 0.7373 0.5698
33 Cd 0.6675 0.0582 0.9302
34 Cd 0.6675 0.1093 0.7373
35 Cd 0.7373 0.5698 0.6280
36 Cd 0.7373 0.6675 0.1093
37 Cd 0.7627 0.3907 0.8325
38 Cd 0.7627 0.8720 0.9302
39 Cd 0.8325 0.5698 0.4418
40 Cd 0.8325 0.7627 0.3907
41 Cd 0.8720 0.4418 0.1093
42 Cd 0.8720 0.9302 0.7627
43 Cd 0.8907 0.1280 0.5582
44 Cd 0.8907 0.2627 0.3325
45 Cd 0.9302 0.6675 0.0582
46 Cd 0.9302 0.7627 0.8720
47 Cd 0.9418 0.0698 0.3325
48 Cd 0.9418 0.3720 0.6093
49 Hg 0.0000 0.0000 0.0000
50 Hg 0.0000 0.0000 0.5000
51 Hg 0.0000 0.5000 0.0000
52 Hg 0.0000 0.5000 0.5000
53 Hg 0.1250 0.7500 0.8750
54 Hg 0.1250 0.8750 0.2500
55 Hg 0.2500 0.1250 0.8750
56 Hg 0.2500 0.6250 0.3750
57 Hg 0.3750 0.2500 0.6250
58 Hg 0.3750 0.6250 0.7500
59 Hg 0.5000 0.0000 0.0000
60 Hg 0.5000 0.0000 0.5000
61 Hg 0.5000 0.5000 0.0000
62 Hg 0.5000 0.5000 0.5000
63 Hg 0.6250 0.3750 0.2500
64 Hg 0.6250 0.7500 0.3750
65 Hg 0.7500 0.3750 0.6250
66 Hg 0.7500 0.8750 0.1250
67 Hg 0.8750 0.1250 0.7500
68 Hg 0.8750 0.2500 0.1250
69 P 0.1250 0.2500 0.3750
70 P 0.1250 0.3750 0.7500
71 P 0.2500 0.3750 0.1250
72 P 0.2500 0.8750 0.6250
73 P 0.3750 0.1250 0.2500
74 P 0.3750 0.7500 0.1250
75 P 0.6250 0.2500 0.8750
76 P 0.6250 0.8750 0.7500
77 P 0.7500 0.1250 0.3750
78 P 0.7500 0.6250 0.8750
79 P 0.8750 0.6250 0.2500
80 P 0.8750 0.7500 0.6250

Density functional theory data (GGA-PBE) for Pr2SmAl after structural relaxation.

Relative energy among the computed polymorphs   0.160 eV/atom
Formation energy   -0.015 eV per atom
Total energy   -4.520 eV per atom
M_tot   0.00 μB per cell

a = 10.9780 Å, b = 10.9780 Å, c = 10.9780 Å
α = 19.52°, β = 19.52°, γ = 19.52°
Sites, in units of the cell vectors:
1 Pr 0.0000 0.0000 0.0000
2 Pr 0.1891 0.1891 0.1891
3 Sm 0.4279 0.4279 0.4279
4 Al 0.5942 0.5942 0.5942

Density functional theory data (GGA-PBE) for CsRbP after structural relaxation.

Formation energy   -0.028 eV per atom
Total energy   -2.438 eV per atom
M_tot   1.00 μB per cell

a = 5.8894 Å, b = 5.8894 Å, c = 5.8894 Å
α = 60.00°, β = 60.00°, γ = 60.00°
Sites, in units of the cell vectors:
1 Cs 0.0000 0.0000 0.0000
2 Rb 0.5000 0.5000 0.5000
3 P 0.2500 0.2500 0.2500

Density functional theory data (GGA-PBE) for ThTiSi2O8 after structural relaxation.

Total energy   -8.422 eV per atom
M_tot   0.00 μB per cell
Raw formation energy   -2937 meV per atom

a = 5.7314 Å, b = 5.7314 Å, c = 5.7314 Å
α = 106.39°, β = 106.39°, γ = 115.82°
Sites, in units of the cell vectors:
1 Th 0.0000 0.0000 0.0000
2 Ti 0.2500 0.7500 0.5000
3 Si 0.5000 0.5000 0.0000
4 Si 0.7500 0.2500 0.5000
5 O 0.3351 0.1422 0.8071
6 O 0.3351 0.5280 0.1929
7 O 0.3914 0.0611 0.3303
8 O 0.4720 0.6649 0.8071
9 O 0.7308 0.0611 0.6697
10 O 0.8578 0.6649 0.1929
11 O 0.9389 0.2692 0.3303
12 O 0.9389 0.6086 0.6697

Density functional theory data (GGA-PBE) for Sm2YI6 after structural relaxation.

Total energy   -3.995 eV per atom
M_tot   0.00 μB per cell
Raw formation energy   -1195 meV per atom

a = 8.3738 Å, b = 8.3738 Å, c = 8.3738 Å
α = 54.32°, β = 54.32°, γ = 54.32°
Sites, in units of the cell vectors:
1 Sm 0.0000 0.0000 0.0000
2 Sm 0.1637 0.1637 0.1637
3 Y 0.3276 0.3276 0.3276
4 I 0.0762 0.7386 0.4282
5 I 0.2621 0.5801 0.9018
6 I 0.4282 0.0762 0.7386
7 I 0.5801 0.9018 0.2621
8 I 0.7386 0.4282 0.0762
9 I 0.9018 0.2621 0.5801